Below is an optimized crystal structure of K2PaCl5, with properties calculated at the PBE level.

Lattice parameters (Å, degrees): 4.010 9.375 12.998 90.00 90.00 90.00
Last column: magnetic moment on the atom in μB.
Fractional coordinates of all 16 atoms:
Cl  0.000  0.647  0.680  -0.01
Cl  0.500  0.168  0.087  -0.02
Cl  0.500  0.832  0.913  -0.02
Pa  0.000  0.500  0.500  1.71
Cl  0.000  0.853  0.180  -0.01
K  0.500  0.552  0.167  0.00
Cl  0.500  0.668  0.413  -0.02
Cl  0.000  0.147  0.820  -0.01
Cl  0.000  0.000  0.500  0.00
Cl  0.000  0.353  0.320  -0.01
Cl  0.500  0.332  0.587  -0.02
Pa  0.000  0.000  0.000  1.71
K  0.500  0.948  0.667  0.00
K  0.500  0.052  0.333  0.00
K  0.500  0.448  0.833  0.00
Cl  0.000  0.500  0.000  0.00

Summary:
Uncorrected energy, eV per atom: -4.429
Formation energy (no corrections), eV per atom: -1.81
SG: Pbam, No. 55
Crystal system: orthorhombic